[1]
VASP calculation (PBE) on crystalline CsCdHg2Ir at its relaxed geometry.

Values from the calculation:
electronic total energy = -11.4 eV per cell

Cell: 5.409 5.409 5.332 Å, 90.00 90.00 90.00°
Atoms (fractional coordinates):
Cs (0.500, 0.500, 0.500)
Ir (0.000, 0.000, 0.000)
Hg (0.000, 0.500, 0.000)
Hg (0.500, 0.000, 0.000)
Cd (0.000, 0.000, 0.500)

[2]
VASP calculation (PBE) on crystalline Hf4CuB2 at its relaxed geometry.

Values from the calculation:
electronic total energy = -55.3 eV per cell

Cell: 4.838 4.838 6.524 Å, 68.24 68.24 90.00°
Atoms (fractional coordinates):
B (0.571, 0.571, 0.858)
B (0.429, 0.429, 0.142)
Hf (0.768, 0.768, 0.463)
Hf (0.232, 0.232, 0.537)
Hf (0.000, 0.500, 0.000)
Hf (0.500, 0.000, 0.000)
Cu (0.000, 0.000, 0.000)

[3]
VASP calculation (PBE) on crystalline TcIr3Rh6 at its relaxed geometry.

Values from the calculation:
electronic total energy = -77.4 eV per cell

Cell: 5.045 5.045 6.902 Å, 90.00 90.00 120.00°
Atoms (fractional coordinates):
Tc (0.000, 0.000, 0.000)
Ir (0.000, 0.000, 0.500)
Ir (0.667, 0.333, 0.500)
Ir (0.333, 0.667, 0.500)
Rh (0.592, 0.592, 0.810)
Rh (0.000, 0.408, 0.810)
Rh (0.408, 0.000, 0.810)
Rh (0.000, 0.592, 0.190)
Rh (0.408, 0.408, 0.190)
Rh (0.592, 0.000, 0.190)

> Which of these has the highest electronic total energy?

CsCdHg2Ir

> Which of these has the highest electronic total energy?

CsCdHg2Ir